Here is an optimized crystal structure of Hf2Os2W from the Alexandria database. Energies are from PBE.

Unit cell a=7.6571 b=7.6571 c=3.0317 alpha=90.00 beta=90.00 gamma=90.00
Space group P4/mbm (No. 127)
Symmetry-distinct sites (fractional):
Hf  0.1445  0.3555  0.0000 (multiplicity 4)
Os  0.1593  0.6593  0.5000 (multiplicity 4)
W  0.0000  0.0000  0.0000 (multiplicity 2)

Output
DOS(E_F) = 13.2 states/eV/cell
E = -10.8003 eV per atom
mass density = 17.21 g cm⁻³
ΔE_f = 264 meV per atom